Crystalline BeSbTe2 at its relaxed geometry. Source: Alexandria via LeMat-Bulk, functional GGA-PBEsol.

Cell lengths 3.7687, 5.7346, 9.0288 Å; angles 90.00, 90.00, 90.00 degrees
Last column: nearest neighbours and their distance in Å.
Space group Cmm2 (No. 35)
Unique sites:
1 Be 0.0000 0.0000 0.0000 x2  2 Te 2.40, 2 Sb 2.61
2 Sb 0.0000 0.5000 0.7998 x2  2 Be 2.61
3 Te 0.0000 0.0000 0.5256 x2  2 Sb 3.11, 4 Te 3.43
4 Te 0.0000 0.5000 0.1646 x2  2 Be 2.40

**D(E_F)**: 4.19 states/eV/cell
**Energy**: -3.647 eV per atom
**Density**: 6.57 g cm⁻³
**Polymorph energy (0 for the lowest one)**: 0.177 eV/atom
**Formation energy from raw total energies**: 0.26 eV/atom